1.
Th2MoPb | PBE-GGA | optimized geometry

Properties
space-group type = P4/mmm
VASP energy = -7.3435 eV/atom

abc: 3.5609 3.5609 8.7268
angles: 90.00 90.00 90.00
Atoms (fractional coordinates):
Pb: 0.5000 0.5000 0.5000
Mo: 0.5000 0.5000 0.0000
Th: 0.0000 0.0000 0.7967
Th: 0.0000 0.0000 0.2033

2.
YZnNi2 | PBE-GGA | optimized geometry

Properties
space-group type = R3m
VASP energy = -5.1288 eV/atom

abc: 5.2970 5.2970 5.2970
angles: 45.37 45.37 45.37
Site moments in Bohr magnetons follow the coordinates.
Atoms (fractional coordinates):
Ni: 0.0229 0.0229 0.0229  0.08
Ni: 0.6960 0.6960 0.6960  0.07
Y: 0.4904 0.4904 0.4904  -0.01
Zn: 0.2907 0.2907 0.2907  0.00

Calculated formation energy per entry: 0.00; -0.30 eV/atom
D(E_F) per entry: 1.19; 1.07 states/eV per atom